Record 1
First-principles (PBE-GGA) data for a geometry-optimized Ta2VGaAu structure, as listed in the Alexandria database.

Summary:
Space group: P4/mmm
ΔE_f in meV per atom: 1584
Spin magnetization in μB/f.u.: 0.0

Lattice parameters (Å, degrees): 4.948 4.687 4.948 90.00 90.00 90.00
Atoms (fractional coordinates):
V1 0.000 0.500 0.000
Au1 0.000 0.000 0.000
Ga1 0.500 0.500 0.500
Ta1 0.000 0.000 0.500
Ta2 0.500 0.000 0.000


Record 2
First-principles (PBE-GGA) data for a geometry-optimized Hf2TiAu2 structure, as listed in the Alexandria database.

Summary:
Space group: P4/mbm
Offset from the most stable computed form in meV/atom: 8
ΔE_f in meV per atom: -294
Spin magnetization in μB/f.u.: 1.4

Lattice parameters (Å, degrees): 7.634 7.634 3.433 90.00 90.00 90.00
Last column: magnetic moment on the atom in μB.
Atoms (fractional coordinates):
Hf1 0.172 0.672 0.500  0.07
Hf2 0.672 0.828 0.500  0.07
Hf3 0.828 0.328 0.500  0.07
Hf4 0.328 0.172 0.500  0.07
Au1 0.370 0.870 0.000  0.01
Au2 0.870 0.630 0.000  0.01
Au3 0.630 0.130 0.000  0.01
Au4 0.130 0.370 0.000  0.01
Ti1 0.000 0.000 0.000  0.84
Ti2 0.500 0.500 0.000  0.83


Record 3
First-principles (PBE-GGA) data for a geometry-optimized La2Ce3TmTe6 structure, as listed in the Alexandria database.

Summary:
Space group: C2/m
E_form (uncorrected) in eV/atom: -1.409
Spin magnetization in μB/f.u.: 3.7

Lattice parameters (Å, degrees): 4.457 9.065 10.063 103.49 102.79 90.00
Last column: magnetic moment on the atom in μB.
Atoms (fractional coordinates):
La1 0.834 0.666 0.667  0.02
La2 0.166 0.334 0.333  0.02
Ce1 0.500 0.500 0.000  1.05
Ce2 0.829 0.164 0.658  0.98
Ce3 0.171 0.836 0.342  0.98
Tm1 0.500 0.000 0.000  0.01
Te1 0.339 0.924 0.679  -0.01
Te2 0.666 0.587 0.331  -0.01
Te3 0.661 0.076 0.321  -0.01
Te4 0.997 0.237 0.993  -0.01
Te5 0.003 0.763 0.007  -0.01
Te6 0.334 0.413 0.669  -0.01


Record 4
First-principles (PBE-GGA) data for a geometry-optimized Sr2AlTeN structure, as listed in the Alexandria database.

Summary:
Space group: P4/mmm
E_form (uncorrected) in eV/atom: -0.248
Spin magnetization in μB/f.u.: 0.0

Lattice parameters (Å, degrees): 5.105 5.059 5.105 90.00 90.00 90.00
Atoms (fractional coordinates):
Sr1 0.000 0.000 0.500
Sr2 0.500 0.000 0.000
Te1 0.000 0.500 0.000
Al1 0.500 0.500 0.500
N1 0.000 0.000 0.000


Record 5
First-principles (PBE-GGA) data for a geometry-optimized LaLuIrRh structure, as listed in the Alexandria database.

Summary:
Space group: F-43m
ΔE_f in meV per atom: -756
Spin magnetization in μB/f.u.: 0.0

Lattice parameters (Å, degrees): 4.921 4.921 4.921 60.00 60.00 60.00
Atoms (fractional coordinates):
Ir1 0.000 0.000 0.000
Rh1 0.500 0.500 0.500
Lu1 0.750 0.750 0.750
La1 0.250 0.250 0.250


Record 6
First-principles (PBE-GGA) data for a geometry-optimized AcZr2Pt2 structure, as listed in the Alexandria database.

Summary:
Space group: I4/mmm
ΔE_f in meV per atom: -882
Spin magnetization in μB/f.u.: 0.0

Lattice parameters (Å, degrees): 4.706 4.706 6.462 111.36 111.36 90.00
Atoms (fractional coordinates):
Ac1 0.000 0.000 0.000
Zr1 0.750 0.250 0.500
Zr2 0.250 0.750 0.500
Pt1 0.625 0.625 0.250
Pt2 0.375 0.375 0.750


Record 7
First-principles (PBE-GGA) data for a geometry-optimized Ac5La2Pm2 structure, as listed in the Alexandria database.

Summary:
Space group: P-1
ΔE_f in meV per atom: 32
Spin magnetization in μB/f.u.: 0.0

Lattice parameters (Å, degrees): 6.714 3.887 17.618 123.47 79.40 106.75
Atoms (fractional coordinates):
Ac1 0.450 0.026 0.120
Ac2 0.550 0.974 0.880
Ac3 0.226 0.009 0.559
Ac4 0.774 0.991 0.441
Ac5 0.000 0.000 0.000
La1 0.098 0.989 0.776
La2 0.902 0.011 0.224
Pm1 0.671 0.994 0.663
Pm2 0.329 0.006 0.337


Record 8
First-principles (PBE-GGA) data for a geometry-optimized CuSbIr2 structure, as listed in the Alexandria database.

Summary:
Space group: Cmmm
E_form (uncorrected) in eV/atom: 0.536
Spin magnetization in μB/f.u.: 0.0

Lattice parameters (Å, degrees): 2.894 2.894 8.940 90.00 90.00 119.05
Atoms (fractional coordinates):
Cu1 0.500 0.500 0.750
Ir1 0.000 0.000 0.985
Ir2 0.000 0.000 0.515
Sb1 0.500 0.500 0.250